(1)
Crystalline Y2As2Rh at its relaxed geometry, computed with PBE-GGA.

Values from the calculation:
Total magnetic moment   0.0 μB/f.u.
E_form   -1.0379 eV per atom
Uncorrected energy   -6.9536 eV/atom

a = 6.954 Å, b = 6.954 Å, c = 4.207 Å
α = 90.00°, β = 90.00°, γ = 90.00°
Positions (direct):
Y 0.171 0.329 0.000
Y 0.329 0.829 0.000
Y 0.671 0.171 0.000
Y 0.829 0.671 0.000
As 0.141 0.641 0.500
As 0.359 0.141 0.500
As 0.641 0.859 0.500
As 0.859 0.359 0.500
Rh 0.000 0.000 0.500
Rh 0.500 0.500 0.500

(2)
Crystalline CeCuPt3 at its relaxed geometry, computed with PBE-GGA.

Values from the calculation:
Total magnetic moment   0.3 μB/f.u.
E_form   -0.3497 eV per atom
Uncorrected energy   -5.9802 eV/atom

a = 5.360 Å, b = 7.382 Å, c = 5.006 Å
α = 90.00°, β = 90.00°, γ = 90.00°
Positions (direct):
Ce 0.000 0.000 0.000
Ce 0.500 0.500 0.000
Cu 0.000 0.500 0.500
Cu 0.500 0.000 0.500
Pt 0.000 0.500 0.000
Pt 0.093 0.176 0.500
Pt 0.407 0.676 0.500
Pt 0.500 0.000 0.000
Pt 0.593 0.324 0.500
Pt 0.907 0.824 0.500

(3)
Crystalline LaCdMo4 at its relaxed geometry, computed with PBE-GGA.

Values from the calculation:
Total magnetic moment   0.0 μB/f.u.
E_form   0.4341 eV per atom
Uncorrected energy   -7.7604 eV/atom

a = 5.514 Å, b = 5.514 Å, c = 5.514 Å
α = 60.00°, β = 60.00°, γ = 60.00°
Positions (direct):
La 0.000 0.000 0.000
Cd 0.250 0.250 0.250
Mo 0.124 0.625 0.625
Mo 0.625 0.124 0.625
Mo 0.625 0.625 0.124
Mo 0.625 0.625 0.625